Record 1
In2CoCu: relaxed, GGA-PBEsol.

Calculated values
The calculation puts the density of states at the Fermi level at 2.55 states/eV/cell. The uncorrected energy comes out at -17.64 eV per cell. Its space group is No. 25.

Cell lengths 3.130, 4.427, 4.427 Å; angles 90.00, 89.99, 90.00 degrees
Sites, in units of the cell vectors:
In (0.875, 0.000, 0.876)
In (0.875, 0.500, 0.374)
Co (0.375, 0.000, 0.377)
Cu (0.375, 0.500, 0.873)

Record 2
In3CoCu: relaxed, GGA-PBEsol.

Calculated values
The calculation puts the density of states at the Fermi level at 1.86 states/eV/cell. The uncorrected energy comes out at -19.19 eV per cell. Its space group is No. 221.

Cell lengths 4.811, 4.811, 4.811 Å; angles 90.00, 90.00, 90.00 degrees
Sites, in units of the cell vectors:
In (0.500, 0.000, 0.000)
In (0.000, 0.500, 0.000)
In (0.000, 0.000, 0.500)
Co (0.000, 0.000, 0.000)
Cu (0.500, 0.500, 0.500)